# CdCu2W

Crystalline CdCu2W at its relaxed geometry (PBE, the Alexandria database).

formation energy from the elements = 1.55 eV/f.u.
raw total energy = -5.13 eV per atom

Cell: 2.7283 3.7869 5.9019 Å, 90.00 90.57 90.00°
Last column: nearest neighbours and their distance in Å.
Fractional coordinates of all 4 atoms:
Cd: 0.0000 0.0000 0.0000  2 Cd 2.73, 8 Cu 2.84-2.86, 2 W 2.95
Cu: 0.4968 0.5000 0.2764  3 Cu 2.64-2.73, 4 W 2.68, 4 Cd 2.84-2.86
Cu: 0.5032 0.5000 0.7236  3 Cu 2.64-2.73, 4 W 2.68, 4 Cd 2.84-2.86
W: 0.0000 0.0000 0.5000  8 Cu 2.68, 2 W 2.73, 2 Cd 2.95